NaZnH9O6: optimized geometry, PBE.

Computed properties:
Calculated total energy: -82.1 eV per formula unit
D(E_F): 0.00 states/eV per cell

Unit cell a=3.4086 b=8.0800 c=11.4006 alpha=94.04 beta=99.70 gamma=93.58
Last column: nearest neighbours and their distance in Å.
Fractional positions:
H: 0.8298 0.0218 0.8835  1 O 0.99
H: 0.0019 0.8569 0.9351  1 O 1.00
H: 0.9581 0.0408 0.5804  1 O 0.98
H: 0.0419 0.9592 0.4196  1 O 0.98
H: 0.6510 0.5435 0.6132  1 O 1.00
H: 0.6341 0.8526 0.3651  1 O 1.00
H: 0.1702 0.9782 0.1165  1 O 0.99
H: 0.4543 0.1938 0.9402  1 O 0.98
H: 0.5935 0.6690 0.5126  1 O 0.99
H: 0.3659 0.1474 0.6349  1 O 1.00
H: 0.1202 0.6863 0.3600  1 O 0.98
H: 0.8798 0.3137 0.6400  1 O 0.98
H: 0.4065 0.3310 0.4874  1 O 0.99
H: 0.3490 0.4565 0.3868  1 O 1.00
H: 0.9981 0.1431 0.0649  1 O 1.00
H: 0.2732 0.6135 0.9265  1 O 0.99
H: 0.7268 0.3865 0.0735  1 O 0.99
H: 0.5457 0.8062 0.0598  1 O 0.98
Zn: 0.7046 0.4145 0.8294  4 O 1.99-2.02
Zn: 0.2954 0.5855 0.1706  4 O 1.99-2.02
O: 0.3852 0.6601 0.3462  1 H 0.98
O: 0.8606 0.9026 0.8621  2 H 0.99-1.00
O: 0.7652 0.4576 0.1497  1 H 0.99
O: 0.6148 0.3399 0.6538  1 H 0.98
O: 0.3185 0.3360 0.4008  2 H 0.99-1.00
O: 0.2312 0.0320 0.6210  2 H 0.98-1.00
O: 0.6815 0.6640 0.5992  2 H 0.99-1.00
O: 0.1394 0.0974 0.1379  2 H 0.99-1.00
O: 0.2348 0.5424 0.8503  1 H 0.99
O: 0.2693 0.7662 0.0597  1 H 0.98
O: 0.7688 0.9680 0.3790  2 H 0.98-1.00
O: 0.7307 0.2338 0.9403  1 H 0.98
Na: 0.2696 0.7927 0.7253  6 O 2.34-2.56
Na: 0.7304 0.2073 0.2747  6 O 2.34-2.56